DFT (PBE) results for a geometry-optimized Al2AsPt structure.

a b c (Å): 6.545 4.796 2.862
angles (deg): 90.10 63.91 123.44
Element x y z (fractional)
Al  0.500  0.000  0.500
Al  0.000  0.000  0.000
Pt  0.500  0.500  0.000
As  0.000  0.500  0.500

Computed properties:
The space-group type is C2/m (12).



DFT (PBE) results for a geometry-optimized AlAs2Pt structure.

a b c (Å): 2.886 3.469 6.910
angles (deg): 90.00 90.00 90.00
Element x y z (fractional)
Al  0.500  0.500  0.750
Pt  0.500  0.500  0.250
As  0.000  0.000  0.010
As  0.000  0.000  0.490

Computed properties:
The space-group type is Pmmm (47).



DFT (PBE) results for a geometry-optimized Al2AsPt structure.

a b c (Å): 6.410 6.410 6.410
angles (deg): 154.52 140.88 47.27
Element x y z (fractional)
Pt  0.234  0.734  0.500
Al  0.051  0.051  0.000
Al  0.759  0.259  0.500
As  0.455  0.455  0.000

Computed properties:
The space-group type is Imm2 (44).



DFT (PBE) results for a geometry-optimized AlAsPt structure.

a b c (Å): 4.250 4.250 4.250
angles (deg): 60.00 60.00 60.00
Element x y z (fractional)
Pt  0.500  0.500  0.500
Al  0.750  0.750  0.750
As  0.000  0.000  0.000

Computed properties:
The space-group type is F-43m (216).



DFT (PBE) results for a geometry-optimized Al2AsPt structure.

a b c (Å): 5.846 5.846 6.756
angles (deg): 64.36 64.36 90.00
Element x y z (fractional)
Pt  0.750  0.250  0.500
Pt  0.000  0.000  0.000
As  0.500  0.500  0.000
As  0.250  0.750  0.500
Al  0.632  0.125  0.250
Al  0.875  0.882  0.750
Al  0.375  0.368  0.750
Al  0.118  0.625  0.250

Computed properties:
The space-group type is I-42d (122).



DFT (PBE) results for a geometry-optimized Al2AsPt structure.

a b c (Å): 4.749 4.749 4.749
angles (deg): 128.45 128.45 75.89
Element x y z (fractional)
Al  0.000  0.000  0.000
Al  0.500  0.500  0.000
As  0.250  0.750  0.500
Pt  0.750  0.250  0.500

Computed properties:
The space-group type is I4/mmm (139).



DFT (PBE) results for a geometry-optimized Al2AsPt structure.

a b c (Å): 2.942 2.943 7.568
angles (deg): 90.00 90.00 90.00
Element x y z (fractional)
Al  0.000  0.000  0.528
Al  0.000  0.000  0.972
As  0.500  0.500  0.250
Pt  0.500  0.500  0.750

Computed properties:
The space-group type is P4/mmm (123).



DFT (PBE) results for a geometry-optimized AlAs2Pt structure.

a b c (Å): 5.760 5.760 5.760
angles (deg): 151.94 126.59 61.42
Element x y z (fractional)
Al  0.269  0.769  0.500
Pt  0.485  0.485  0.000
As  0.715  0.215  0.500
As  0.031  0.031  0.000

Computed properties:
The space-group type is Imm2 (44).



DFT (PBE) results for a geometry-optimized Al2AsPt structure.

a b c (Å): 2.907 2.907 7.857
angles (deg): 90.00 90.00 89.98
Element x y z (fractional)
As  0.000  0.000  0.511
Al  0.500  0.500  0.232
Al  0.000  0.000  0.981
Pt  0.500  0.500  0.776

Computed properties:
The space-group type is P4mm (99).



DFT (PBE) results for a geometry-optimized Al2AsPt structure.

a b c (Å): 3.754 3.754 6.321
angles (deg): 74.36 74.36 57.62
Element x y z (fractional)
Al  0.005  0.005  0.986
Al  0.495  0.495  0.514
As  0.250  0.250  0.250
Pt  0.750  0.750  0.750

Computed properties:
The space-group type is C2/m (12).



DFT (PBE) results for a geometry-optimized AlAsPt3 structure.

a b c (Å): 4.583 4.583 4.583
angles (deg): 90.00 90.00 90.00
Element x y z (fractional)
Al  0.000  0.000  0.000
Pt  0.000  0.000  0.500
Pt  0.000  0.500  0.000
Pt  0.500  0.000  0.000
As  0.500  0.500  0.500

Computed properties:
The space-group type is Pm-3m (221).



DFT (PBE) results for a geometry-optimized Al2AsPt2 structure.

a b c (Å): 7.537 7.537 2.819
angles (deg): 90.00 90.00 90.00
Element x y z (fractional)
Pt  0.856  0.644  0.000
Pt  0.644  0.144  0.000
Pt  0.144  0.356  0.000
Pt  0.356  0.856  0.000
As  0.000  0.000  0.000
As  0.500  0.500  0.000
Al  0.848  0.348  0.500
Al  0.652  0.848  0.500
Al  0.348  0.152  0.500
Al  0.152  0.652  0.500

Computed properties:
The space-group type is P4/mbm (127).



no.,ΔE_f (kJ per mole of atoms),E_tot (eV per atom),V (Å³/cell)
1,-29,-4.849,63.75
2,6,-4.707,69.18
3,-35,-4.908,71.25
4,-28,-5.097,54.26
5,-29,-4.845,182.66
6,-28,-4.836,63.89
7,-35,-4.904,65.53
8,-8,-4.858,71.64
9,-21,-4.763,66.39
10,-37,-4.926,71.57
11,40,-4.893,96.23
12,-67,-5.542,160.14